This record from Alexandria describes crystalline CsIn2Ir at its relaxed geometry. The functional is PBE-GGA.

Results
- E_tot: -3.720 eV per atom
- Magnetic moment: 0.0 μB per formula unit
- Space group: No. 123
- DFT formation energy: 78.2 meV/atom
- ΔE to the lowest computed polymorph: 0.009 eV/atom

abc: 3.3517 3.3517 9.4496
angles: 90.00 90.00 90.00
Fractional coordinates of all 4 atoms:
Cs  0.0000  0.0000  0.0000
In  0.5000  0.5000  0.3269
In  0.5000  0.5000  0.6731
Ir  0.0000  0.0000  0.5000

=====

This record from Alexandria describes crystalline CsLiIn2Ir at its relaxed geometry. The functional is PBE-GGA.

Results
- E_tot: -3.523 eV per atom
- Magnetic moment: 0.0 μB per formula unit
- Space group: No. 123
- DFT formation energy: -102.4 meV/atom

abc: 5.2324 5.2324 5.4522
angles: 90.00 90.00 90.00
Fractional coordinates of all 5 atoms:
Cs  0.0000  0.0000  0.0000
Li  0.5000  0.5000  0.0000
In  0.0000  0.5000  0.5000
In  0.5000  0.0000  0.5000
Ir  0.5000  0.5000  0.5000

=====

This record from Alexandria describes crystalline CsMg2InIr at its relaxed geometry. The functional is PBE-GGA.

Results
- E_tot: -3.260 eV per atom
- Magnetic moment: 0.0 μB per formula unit
- Space group: No. 123
- DFT formation energy: -131.3 meV/atom

abc: 5.2656 5.2656 5.2727
angles: 90.00 90.00 90.00
Fractional coordinates of all 5 atoms:
Cs  0.0000  0.0000  0.0000
Mg  0.0000  0.5000  0.5000
Mg  0.5000  0.0000  0.5000
In  0.5000  0.5000  0.0000
Ir  0.5000  0.5000  0.5000